# 1
Compound: Ho2In2Hg7
Source: Alexandria
Functional: PBE-GGA
Structure: relaxed

Properties
**Energy of formation**: -4.8 kcal/mol of atoms
**Volume**: 552.63 Å³ per cell
**Magnetization**: 0.0 μB/f.u.
**DOS(E_F)**: 0.40 states/eV/atom

a b c (Å): 4.737 16.484 7.077
angles (deg): 90.00 90.00 90.00
Space group Imm2 (No. 44)
One atom of each set of equivalent atoms:
Ho 0.000 0.210 0.000 x4
In 0.000 0.000 0.189 x2
In 0.000 0.500 0.000 x2
Hg 0.000 0.000 0.785 x2
Hg 0.000 0.165 0.495 x4
Hg 0.000 0.365 0.280 x4
Hg 0.000 0.367 0.714 x4

# 2
Compound: Cr2SiP
Source: Alexandria
Functional: PBE-GGA
Structure: relaxed

Properties
**Volume**: 48.16 Å³ per cell
**Distance to the lowest polymorph of the same formula**: 226 meV/atom
**Magnetization**: 0.0 μB/f.u.
**DOS(E_F)**: 1.02 states/eV/atom

a b c (Å): 2.776 3.288 5.330
angles (deg): 90.00 98.21 90.00
Space group P2/m (No. 10)
One atom of each set of equivalent atoms:
Cr 0.142 0.000 0.265 x2
Si 0.500 0.500 0.000 x1
P 0.500 0.500 0.500 x1

# 3
Compound: SrCoPb2
Source: Alexandria
Functional: PBE-GGA
Structure: relaxed

Properties
**Energy of formation**: -0.5 kcal/mol of atoms
**Volume**: 324.63 Å³ per cell
**Magnetization**: 0.9 μB/f.u.
**DOS(E_F)**: 0.91 states/eV/atom

a b c (Å): 4.5045 4.5045 18.4768
angles (deg): 90.00 90.00 120.00
Space group R-3m (No. 166, hexagonal axes)
One atom of each set of equivalent atoms:
Sr 0.0000 0.0000 0.0000 x3
Co 0.0000 0.0000 0.5000 x3
Pb 0.0000 0.0000 0.2183 x6

# 4
Compound: Er2ScTc
Source: Alexandria
Functional: PBE-GGA
Structure: relaxed

Properties
**Energy of formation**: 0.4 kcal/mol of atoms
**Volume**: 96.40 Å³ per cell
**Distance to the lowest polymorph of the same formula**: 160 meV/atom
**Magnetization**: 0.7 μB/f.u.
**DOS(E_F)**: 1.66 states/eV/atom

a b c (Å): 3.435 3.435 8.171
angles (deg): 90.00 90.00 90.00
Space group P4/mmm (No. 123)
One atom of each set of equivalent atoms:
Er 0.000 0.000 0.198 x2
Sc 0.500 0.500 0.500 x1
Tc 0.500 0.500 0.000 x1

# 5
Compound: PmScSn2Pd4
Source: Alexandria
Functional: PBE-GGA
Structure: relaxed

Properties
**Energy of formation**: -19.5 kcal/mol of atoms
**Volume**: 466.66 Å³ per cell
**Magnetization**: 0.0 μB/f.u.
**DOS(E_F)**: 0.51 states/eV/atom

a b c (Å): 4.6818 4.6818 24.5839
angles (deg): 90.00 90.00 120.00
Space group R-3m (No. 166, hexagonal axes)
One atom of each set of equivalent atoms:
Pm 0.0000 0.0000 0.0000 x3
Sc 0.0000 0.0000 0.5000 x3
Sn 0.0000 0.0000 0.2463 x6
Pd 0.0000 0.0000 0.1297 x6
Pd 0.0000 0.0000 0.3910 x6

# 6
Compound: PuCl2
Source: Alexandria
Functional: PBE-GGA
Structure: relaxed

Properties
**Volume**: 186.42 Å³ per cell
**Uncorrected energy**: -7.7350 eV/atom
**Magnetization**: 6.0 μB/f.u.
**DOS(E_F)**: 4.25 states/eV/atom

a b c (Å): 6.863 6.863 3.957
angles (deg): 90.00 90.00 90.00
Space group P4_2/mnm (No. 136)
One atom of each set of equivalent atoms:
Pu 0.000 0.000 0.000 x2
Cl 0.208 0.208 0.500 x4

# 7
Compound: Ta4RuRh
Source: Alexandria
Functional: PBE-GGA
Structure: relaxed

Properties
**Energy of formation**: 7.3 kcal/mol of atoms
**Volume**: 421.79 Å³ per cell
**Magnetization**: 0.0 μB/f.u.
**DOS(E_F)**: 0.85 states/eV/atom

a b c (Å): 7.499 7.499 7.499
angles (deg): 90.00 90.00 90.00
Space group F-43m (No. 216)
One atom of each set of equivalent atoms:
Ta 0.125 0.125 0.125 x16
Ru 0.000 0.000 0.500 x4
Rh 0.250 0.250 0.750 x4